No. 1
Here is NbMo2I after structural relaxation from Alexandria. Energies are from PBE.

It has space group Fm-3m (No. 225), with a = 6.582 Å, b = 6.582 Å, c = 6.582 Å, α = 90.00°, β = 90.00° and γ = 90.00°. The distinct sites, in fractional coordinates, are Nb at (0.000, 0.000, 0.000), Mo at (0.250, 0.250, 0.250) and I at (0.000, 0.000, 0.500).

The total magnetic moment comes out at 0.00 Bohr magnetons per cell. The calculation puts the total energy at -7.52 eV per atom. The raw formation energy comes out at 0.800 eV/atom.



No. 2
Here is NbMo2I after structural relaxation from Alexandria. Energies are from PBE.

It has space group I-42d (No. 122), with a = 3.895 Å, b = 3.895 Å, c = 20.506 Å, α = 90.00°, β = 90.00° and γ = 90.00°. The distinct sites, in fractional coordinates, are Nb at (0.000, 0.000, 0.000), Mo at (0.235, 0.250, 0.125) and I at (0.000, 0.000, 0.500).

The total magnetic moment comes out at 0.00 Bohr magnetons per cell. The calculation puts the total energy at -7.20 eV per atom. The raw formation energy comes out at 1.116 eV/atom.



No. 3
Here is NbMoI2 after structural relaxation from Alexandria. Energies are from PBE.

It has space group Fm-3m (No. 225), with a = 6.840 Å, b = 6.840 Å, c = 6.840 Å, α = 90.00°, β = 90.00° and γ = 90.00°. The distinct sites, in fractional coordinates, are Nb at (0.000, 0.000, 0.000), Mo at (0.000, 0.000, 0.500) and I at (0.250, 0.250, 0.250).

The total magnetic moment comes out at 0.00 Bohr magnetons per cell. The calculation puts the total energy at -5.13 eV per atom. The raw formation energy comes out at 0.869 eV/atom.



No. 4
Here is NbNi2MoI after structural relaxation from Alexandria. Energies are from PBE.

It has space group P4/mmm (No. 123), with a = 4.495 Å, b = 4.495 Å, c = 5.159 Å, α = 90.00°, β = 90.00° and γ = 90.00°. The distinct sites, in fractional coordinates, are Nb at (0.000, 0.000, 0.000), Ni at (0.000, 0.500, 0.500), Mo at (0.500, 0.500, 0.000) and I at (0.000, 0.000, 0.500).

The total magnetic moment comes out at 2.18 Bohr magnetons per cell. The calculation puts the total energy at -5.19 eV per atom. The raw formation energy comes out at 1.616 eV/atom.



No. 5
Here is NbNiMo2I after structural relaxation from Alexandria. Energies are from PBE.

It has space group P4/mmm (No. 123), with a = 4.889 Å, b = 4.889 Å, c = 4.395 Å, α = 90.00°, β = 90.00° and γ = 90.00°. The distinct sites, in fractional coordinates, are Nb at (0.000, 0.000, 0.000), Ni at (0.500, 0.500, 0.000), Mo at (0.000, 0.500, 0.500) and I at (0.500, 0.500, 0.500).

The total magnetic moment comes out at 0.00 Bohr magnetons per cell. The calculation puts the total energy at -5.93 eV per atom. The raw formation energy comes out at 1.881 eV/atom.